# 1
CaNi3H | GGA-PBE | relaxed

Summary:
The calculation puts the polymorph energy (0 for the lowest one) at 0 meV per atom.

Geometry as extended XYZ:
```
5
Lattice="3.8760 0.0000 0.0000 0.0000 3.8760 0.0000 0.0000 0.0000 3.8760" Properties=species:S:1:pos:R:3 pbc="T T T"
Ca 0.0000 0.0000 0.0000
Ni 0.0000 1.9380 1.9380
Ni 1.9380 0.0000 1.9380
Ni 1.9380 1.9380 0.0000
H 1.9380 1.9380 1.9380
```

# 2
Rb2SrCeF6 | GGA-PBE | relaxed

Summary:
The value obtained for the formation energy without anion corrections is -32.32 eV per formula unit.

Geometry as extended XYZ:
```
10
Lattice="-3.4175 3.4222 4.8320 3.4175 -3.4222 4.8320 3.4175 3.4222 -4.8320" Properties=species:S:1:pos:R:3 pbc="T T T"
Rb 0.0000 0.0000 2.4176
Rb 0.0000 0.0000 7.2463
Sr 0.0000 3.4222 0.0000
Ce 3.4175 0.0000 0.0000
F 1.7380 1.6836 0.0000
F 3.4175 0.0000 2.3732
F 5.0970 1.6836 0.0000
F -1.6795 1.7385 4.8320
F 0.0000 3.4222 2.4588
F 1.6795 1.7385 4.8320
```

# 3
BaCd4In4 | GGA-PBE | relaxed

Summary:
The formation enthalpy at 0 K comes out at -10 kJ/mol of atoms.

Geometry as extended XYZ:
```
9
Lattice="-4.7034 4.7034 2.8814 4.7034 -4.7034 2.8814 4.7034 4.7034 -2.8814" Properties=species:S:1:pos:R:3 pbc="T T T"
Ba 0.0000 0.0000 0.0000
Cd 3.6303 2.6631 0.0000
Cd 2.0403 -1.0731 2.8814
Cd 2.6631 5.7765 0.0000
Cd 1.0731 2.0403 2.8814
In 6.0009 0.7344 0.0000
In 0.7344 3.4059 0.0000
In 3.9691 1.2975 2.8814
In -1.2975 3.9691 2.8814
```

# 4
CaHfV3 | GGA-PBE | relaxed

Summary:
The formation enthalpy at 0 K comes out at 127 kJ/mol of atoms.

Geometry as extended XYZ:
```
5
Lattice="4.8609 0.0000 0.0000 0.0000 4.8609 0.0000 0.0000 0.0000 4.8609" Properties=species:S:1:pos:R:3 pbc="T T T"
Ca 0.0000 0.0000 0.0000
Hf 2.4305 2.4305 2.4305
V 0.0000 2.4305 2.4305
V 2.4305 0.0000 2.4305
V 2.4305 2.4305 0.0000
```

Number 1: total energy -4.493 eV per atom. Number 2: total energy -5.310 eV per atom. Number 3: total energy -1.945 eV per atom. Number 4: total energy -6.544 eV per atom.